1.
Computed, not measured: a relaxed Tm2ZnGa4Pt3 crystal at the GGA-PBE level of DFT.

a = 4.019 Å, b = 4.019 Å, c = 11.372 Å
α = 90.00°, β = 90.00°, γ = 90.00°
Sites, in units of the cell vectors:
Tm 0.500 0.000 0.249
Ga 0.500 0.500 0.000
Pt 0.500 0.000 0.856
Ga 0.000 0.000 0.000
Pt 0.000 0.000 0.500
Zn 0.500 0.500 0.500
Pt 0.000 0.500 0.144
Tm 0.000 0.500 0.751
Ga 0.500 0.000 0.638
Ga 0.000 0.500 0.362

Properties
Its space group is P-4m2, No. 115.

2.
Computed, not measured: a relaxed Ho3Tm2 crystal at the GGA-PBE level of DFT.

a = 6.062 Å, b = 6.557 Å, c = 8.978 Å
α = 111.42°, β = 109.73°, γ = 90.00°
Sites, in units of the cell vectors:
Ho 0.407 0.523 0.813
Ho 0.593 0.477 0.187
Ho 0.907 0.291 0.813
Ho 0.250 0.000 0.000
Tm 0.308 0.955 0.616
Tm 0.692 0.045 0.384
Tm 0.192 0.339 0.384
Ho 0.750 0.000 0.000
Tm 0.808 0.661 0.616
Ho 0.093 0.709 0.187

Properties
Its space group is Ibam, No. 72.

no.,ΔH_f (0 K) (eV/atom)
1,-0.82
2,0.14